Y2MgSi: relaxed, PBE.

Values from the calculation:
raw total energy	-0.3843	Ry/atom
formation energy from raw total energies	-0.243	eV per atom
SG	C2/m

Unit cell a=4.380 b=4.380 c=7.182 alpha=107.60 beta=107.60 gamma=59.79
Positions (direct):
1 Y 0.232 0.232 0.198
2 Y 0.768 0.768 0.802
3 Mg 0.000 0.000 0.500
4 Si 0.500 0.500 0.000